[1]
Density functional theory data (PBE-GGA) for a relaxed MnNiHg2 crystal.

Properties
**Total moment**: 16.60 Bohr magnetons per cell
**DFT formation energy**: 48.3 kJ per mole of atoms
**D(E_F)**: 0.713 states/eV per atom

Structure (CIF):
```
data_MnNiHg2
_chemical_formula_sum 'Mn4 Ni4 Hg8'
_cell_length_a 7.373
_cell_length_b 7.373
_cell_length_c 5.638
_cell_angle_alpha 90.00
_cell_angle_beta 90.00
_cell_angle_gamma 90.00
_symmetry_space_group_name_H-M 'I -4 2 d'
_symmetry_Int_Tables_number 122
_symmetry_space_group_name_Hall 'I -4 2bw'
loop_
_atom_site_label
_atom_site_fract_x
_atom_site_fract_y
_atom_site_fract_z
Mn1 0.000 0.000 0.000
Ni1 0.000 0.000 0.500
Hg1 0.228 0.250 0.625
```



[2]
Density functional theory data (PBE-GGA) for a relaxed Sr3AsO crystal.

Properties
**Total moment**: 0.00 Bohr magnetons per cell
**E_form (uncorrected)**: -1.47 eV per atom
**D(E_F)**: 0.506 states/eV per atom

Structure (CIF):
```
data_Sr3AsO
_chemical_formula_sum 'Sr3 As1 O1'
_cell_length_a 5.060
_cell_length_b 5.060
_cell_length_c 5.060
_cell_angle_alpha 90.00
_cell_angle_beta 90.00
_cell_angle_gamma 90.00
_symmetry_space_group_name_H-M 'P m -3 m'
_symmetry_Int_Tables_number 221
_symmetry_space_group_name_Hall '-P 4 2 3'
loop_
_atom_site_label
_atom_site_fract_x
_atom_site_fract_y
_atom_site_fract_z
Sr1 0.000 0.000 0.500
As1 0.500 0.500 0.500
O1 0.000 0.000 0.000
```